! PrAsP2Rh5 | Alexandria | PBE | optimized geometry; values from VASP
! Space-group type ... P4/mmm, No. 123
! Energy of formation ... -0.73 eV/atom
&SYSTEM
  ibrav = 0, nat = 9, ntyp = 4
/
ATOMIC_SPECIES
Pr 140.91 Pr.upf
As 74.92 As.upf
P 30.97 P.upf
Rh 102.91 Rh.upf
ATOMIC_POSITIONS crystal
Pr 0.000 0.000 0.000
As 0.000 0.000 0.500
P 0.500 0.500 0.229
P 0.500 0.500 0.771
Rh 0.000 0.500 0.345
Rh 0.000 0.500 0.655
Rh 0.500 0.000 0.345
Rh 0.500 0.000 0.655
Rh 0.500 0.500 0.000
CELL_PARAMETERS angstrom
4.022 0.000 0.000
0.000 4.022 0.000
0.000 0.000 9.926